Computed, not measured: Li3MoO4 after structural relaxation at the GGA+U level of DFT.

Geometry as POSCAR:
```
Li3MoO4
1.0
4.150 0.000 0.000
0.000 5.859 0.000
0.000 0.000 7.160
O Li Mo
8 6 2
Direct
0.564 0.151 0.500
0.064 0.828 0.500
0.064 0.849 0.000
0.564 0.680 0.269
0.564 0.680 0.731
0.064 0.320 0.231
0.064 0.320 0.769
0.564 0.172 0.000
0.565 0.331 0.263
0.064 0.180 0.500
0.065 0.669 0.763
0.564 0.820 0.000
0.565 0.331 0.737
0.065 0.669 0.237
0.564 0.823 0.500
0.064 0.177 0.000
```

Values from the calculation:
Crystal system   orthorhombic
Final energy   -6.025 eV per atom
Relative energy among the computed polymorphs   0.00 eV/f.u.
Magnetization   2.00 μB/cell